[1]
Here is LiCdAgHg after structural relaxation from the Alexandria database. Energies are from GGA-PBE.

Properties
- energy above the lowest structure with this stoichiometry (meV/atom) = 0
- E (eV/atom) = -1.681
- E_form (eV/atom) = -0.1850

Unit cell a=4.3130 b=4.3130 c=8.2779 alpha=90.00 beta=90.00 gamma=90.00
With the nearest neighbours (Å) after each atom.
Space group I-4m2 (No. 119)
Inequivalent atoms, fractional coordinates:
Li1 0.0000 0.0000 0.0000 (multiplicity 2)  4 Hg 2.99, 4 Ag 2.99, 4 Cd 3.05
Cd1 0.0000 0.0000 0.5000 (multiplicity 2)  4 Hg 2.99, 4 Ag 2.99, 4 Li 3.05
Ag1 0.0000 0.5000 0.7500 (multiplicity 2)  4 Cd 2.99, 4 Li 2.99, 4 Hg 3.05
Hg1 0.0000 0.5000 0.2500 (multiplicity 2)  4 Cd 2.99, 4 Li 2.99, 4 Ag 3.05

[2]
Here is Li3Cd2Ag4Hg2 after structural relaxation from the Alexandria database. Energies are from GGA-PBE.

Properties
- E (eV/atom) = -1.932
- E_form (eV/atom) = -0.1515

Unit cell a=4.5699 b=4.5699 c=11.7480 alpha=90.00 beta=90.00 gamma=120.00
With the nearest neighbours (Å) after each atom.
Space group P-3m1 (No. 164)
Inequivalent atoms, fractional coordinates:
Li1 0.0000 0.0000 0.0000 (multiplicity 1)  6 Hg 2.79
Li2 0.0000 0.0000 0.2770 (multiplicity 2)  6 Ag 2.69-2.84
Cd1 0.3333 0.6667 0.5663 (multiplicity 2)  5 Ag 2.86-2.94, 3 Cd 3.06
Ag1 0.3333 0.6667 0.3226 (multiplicity 2)  3 Li 2.69, 4 Cd 2.86-2.94, 1 Hg 2.88
Ag2 0.3333 0.6667 0.8121 (multiplicity 2)  3 Li 2.84, 1 Cd 2.89, 4 Hg 2.94-3.12, 3 Ag 3.08
Hg1 0.3333 0.6667 0.0776 (multiplicity 2)  3 Li 2.79, 5 Ag 2.88-3.12

[3]
Here is LiCd3AgHg after structural relaxation from the Alexandria database. Energies are from GGA-PBE.

Properties
- E (eV/atom) = -1.420
- E_form (eV/atom) = -0.1176

Unit cell a=3.3137 b=15.4619 c=9.6064 alpha=90.00 beta=90.00 gamma=90.00
With the nearest neighbours (Å) after each atom.
Space group Cmcm (No. 63)
Inequivalent atoms, fractional coordinates:
Li1 0.0000 0.0453 0.2500 (multiplicity 4)  4 Cd 2.94-3.04, 4 Hg 3.00, 2 Ag 3.16
Cd1 0.0000 0.1663 0.0146 (multiplicity 8)  3 Ag 2.92-3.10, 1 Li 2.94, 2 Hg 3.06, 4 Cd 3.09-3.12
Cd2 0.0000 0.3802 0.2500 (multiplicity 4)  2 Ag 2.99, 2 Hg 3.03, 2 Li 3.04, 6 Cd 3.12-3.31
Ag1 0.0000 0.2810 0.7500 (multiplicity 4)  8 Cd 2.92-3.10, 2 Li 3.16
Hg1 0.0000 0.5000 0.0000 (multiplicity 4)  4 Li 3.00, 6 Cd 3.03-3.06, 2 Hg 3.31

What is the formula in the third record? LiCd3AgHg

Which of these has the lowest E_form? LiCdAgHg